Computed, not measured: crystalline UCuNiS3 at its relaxed geometry at the PBE-GGA level of DFT.

Values from the calculation:
- Symmetry: No. 11
- Formation energy (no corrections): -0.7828 eV/atom

Cell: 7.598 3.696 7.993 Å, 90.00 104.47 90.00°
Atoms (fractional coordinates):
U 0.235 0.250 0.173
U 0.765 0.750 0.827
Cu 0.192 0.250 0.562
Cu 0.808 0.750 0.438
Ni 0.415 0.750 0.908
Ni 0.585 0.250 0.092
S 0.129 0.750 0.384
S 0.134 0.750 0.927
S 0.467 0.250 0.769
S 0.533 0.750 0.231
S 0.866 0.250 0.073
S 0.871 0.250 0.616

Computed, not measured: crystalline MgSb2Te at its relaxed geometry at the PBE-GGA level of DFT.

Values from the calculation:
- Symmetry: No. 166
- Distance to the lowest polymorph of the same formula: 0.401 eV/atom
- Formation energy (no corrections): 0.1301 eV/atom

Cell: 3.324 3.324 34.497 Å, 90.00 90.00 120.00°
Atoms (fractional coordinates):
Mg 0.000 0.000 0.000
Mg 0.333 0.667 0.667
Mg 0.667 0.333 0.333
Sb 0.000 0.000 0.264
Sb 0.000 0.000 0.736
Sb 0.333 0.667 0.403
Sb 0.333 0.667 0.930
Sb 0.667 0.333 0.070
Sb 0.667 0.333 0.597
Te 0.000 0.000 0.500
Te 0.333 0.667 0.167
Te 0.667 0.333 0.833

Computed, not measured: crystalline SmMnAl4 at its relaxed geometry at the PBE-GGA level of DFT.

Values from the calculation:
- Symmetry: No. 123
- Final energy: -4.6217 eV/atom

Cell: 4.490 4.490 6.874 Å, 90.00 90.00 90.00°
Atoms (fractional coordinates):
Sm 0.000 0.000 0.000
Mn 0.500 0.500 0.500
Al 0.000 0.500 0.500
Al 0.500 0.000 0.500
Al 0.500 0.500 0.177
Al 0.500 0.500 0.823